No. 1
First-principles (PBE-GGA) data for a geometry-optimized CeEr2N3 structure, as listed in Alexandria via LeMat-Bulk.

Structure (POSCAR):
```
CeEr2N3
1.0
0.000 4.910 10.419
3.476 0.000 10.419
3.476 4.910 0.000
Ce Er N
4 8 12
Cartesian
0.869 1.227 0.866
0.869 1.227 4.343
6.083 8.592 16.494
6.083 8.592 19.971
2.607 3.682 2.617
2.607 3.682 6.088
4.345 6.137 7.827
2.607 3.682 9.540
4.345 6.137 11.298
2.607 3.682 13.011
4.345 6.137 14.749
4.345 6.137 18.220
2.617 1.235 6.084
4.321 3.682 7.814
2.596 1.235 9.544
4.334 3.690 11.293
6.059 6.137 13.024
4.355 3.690 14.754
2.596 6.130 6.084
0.893 3.682 7.814
2.617 6.130 9.544
4.355 8.585 11.293
2.630 6.137 13.024
4.334 8.585 14.754
```

## Properties
**Formation energy (no corrections)**: -1.672 eV per atom
**M_tot**: 0.383 μB per cell
**Theoretical density**: 9.7 g cm⁻³
**SG**: Fddd, No. 70
**Final energy**: -8.345 eV/atom


No. 2
First-principles (PBE-GGA) data for a geometry-optimized Ce3ErN4 structure, as listed in Alexandria via LeMat-Bulk.

Structure (POSCAR):
```
Ce3ErN4
1.0
3.540 -4.994 0.000
3.540 4.994 0.000
0.000 0.000 3.532
Ce Er N
3 1 4
Cartesian
0.000 0.000 0.000
1.770 2.497 1.766
1.770 -2.497 1.766
3.540 0.000 0.000
3.540 2.457 0.000
1.806 0.000 1.766
5.273 0.000 1.766
3.540 -2.457 0.000
```

## Properties
**Formation energy (no corrections)**: -1.551 eV per atom
**M_tot**: 0.691 μB per cell
**Theoretical density**: 8.6 g cm⁻³
**SG**: Cmmm, No. 65
**Final energy**: -8.510 eV/atom


No. 3
First-principles (PBE-GGA) data for a geometry-optimized CeErN2 structure, as listed in Alexandria via LeMat-Bulk.

Structure (POSCAR):
```
CeErN2
1.0
3.438 0.000 0.000
-1.719 2.977 0.000
0.000 0.000 6.047
Ce Er N
1 1 2
Cartesian
0.000 0.000 0.000
0.000 0.000 3.024
0.000 1.985 4.483
1.719 0.992 1.564
```

## Properties
**Formation energy (no corrections)**: -1.260 eV per atom
**M_tot**: 0.741 μB per cell
**Theoretical density**: 9.0 g cm⁻³
**SG**: P-3m1, No. 164
**Final energy**: -8.046 eV/atom


No. 4
First-principles (PBE-GGA) data for a geometry-optimized CeEr2N structure, as listed in Alexandria via LeMat-Bulk.

Structure (POSCAR):
```
CeEr2N
1.0
1.675 0.967 9.447
-1.675 0.967 9.447
0.000 -1.934 9.447
Ce Er N
1 2 1
Cartesian
0.000 0.000 0.000
0.000 0.000 3.375
0.000 0.000 24.966
0.000 0.000 14.170
```

## Properties
**Formation energy (no corrections)**: -0.706 eV per atom
**M_tot**: 0.719 μB per cell
**E above lowest polymorph**: 0 meV per atom
**Theoretical density**: 8.8 g cm⁻³
**SG**: R-3m, No. 166
**Final energy**: -6.552 eV/atom


No. 5
First-principles (PBE-GGA) data for a geometry-optimized Ce2ErN structure, as listed in Alexandria via LeMat-Bulk.

Structure (POSCAR):
```
Ce2ErN
1.0
1.712 0.988 9.446
-1.712 0.988 9.446
0.000 -1.977 9.446
Ce Er N
2 1 1
Cartesian
0.000 0.000 3.288
0.000 0.000 25.051
0.000 0.000 0.000
0.000 0.000 14.170
```

## Properties
**Formation energy (no corrections)**: -0.555 eV per atom
**M_tot**: 1.172 μB per cell
**Theoretical density**: 8.0 g cm⁻³
**SG**: R-3m, No. 166
**Final energy**: -6.744 eV/atom


No. 6
First-principles (PBE-GGA) data for a geometry-optimized CeEr3N4 structure, as listed in Alexandria via LeMat-Bulk.

Structure (POSCAR):
```
CeEr3N4
1.0
5.995 0.000 0.000
0.000 6.923 0.000
-2.000 0.000 5.653
Ce Er N
2 6 8
Cartesian
-0.500 0.884 1.413
-1.500 6.038 4.239
-1.500 2.612 4.239
-0.500 4.311 1.413
1.497 0.884 4.239
2.497 2.614 1.413
1.497 4.309 4.239
2.497 6.038 1.413
1.506 0.875 0.003
0.505 2.600 2.826
-0.495 4.323 5.652
0.506 6.048 2.829
3.488 0.875 2.823
4.490 2.600 0.001
3.490 4.323 2.827
2.488 6.048 5.650
```

## Properties
**Formation energy (no corrections)**: -1.702 eV per atom
**M_tot**: 0.251 μB per cell
**Theoretical density**: 9.9 g cm⁻³
**SG**: P2/c, No. 13
**Final energy**: -8.317 eV/atom